A plane-wave DFT calculation with PBE was carried out for a geometry-optimized Zn3GaCu4 structure.

Results
* DFT formation energy: -0.0867 eV/atom
* DOS(E_F): 3.4 states/eV per cell
* total moment: 0.00 μB/f.u.
* distance to the lowest polymorph of the same formula: 0 meV/atom
* uncorrected energy: -2.99 eV/atom

POSCAR file:
```
Zn3GaCu4
1.0
4.231 0.000 0.000
0.000 5.896 0.000
0.000 0.000 8.448
Zn Ga Cu
6 2 8
Direct
0.000 0.000 0.000
0.526 0.000 0.750
0.526 0.500 0.750
0.000 0.000 0.500
0.474 0.000 0.250
0.474 0.500 0.250
0.000 0.500 0.500
0.000 0.500 0.000
0.972 0.750 0.250
0.028 0.250 0.750
0.028 0.750 0.750
0.500 0.750 0.000
0.500 0.250 0.000
0.500 0.250 0.500
0.972 0.250 0.250
0.500 0.750 0.500
```

A plane-wave DFT calculation with PBE was carried out for a geometry-optimized Zn3GaCu structure.

Results
* DFT formation energy: 0.1178 eV/atom
* DOS(E_F): 2.1 states/eV per cell
* total moment: 0.00 μB/f.u.
* distance to the lowest polymorph of the same formula: 137 meV/atom
* uncorrected energy: -2.07 eV/atom

POSCAR file:
```
Zn3GaCu
1.0
4.859 0.000 0.000
0.000 6.354 -0.001
0.000 -3.177 5.502
Zn Ga Cu
6 2 2
Direct
0.750 0.609 0.805
0.750 0.195 0.391
0.250 0.805 0.609
0.750 0.195 0.805
0.250 0.805 0.195
0.250 0.391 0.195
0.250 0.333 0.667
0.750 0.667 0.333
0.500 0.000 0.000
0.000 0.000 0.000
```

A plane-wave DFT calculation with PBE was carried out for a geometry-optimized ZnGa3Cu structure.

Results
* DFT formation energy: 0.0079 eV/atom
* DOS(E_F): 3.9 states/eV per cell
* total moment: 0.00 μB/f.u.
* distance to the lowest polymorph of the same formula: 0 meV/atom
* uncorrected energy: -2.88 eV/atom

POSCAR file:
```
ZnGa3Cu
1.0
5.712 0.671 -0.461
-0.917 5.678 0.461
-2.918 -2.782 5.327
Ga Zn Cu
6 2 2
Direct
0.786 0.919 0.201
0.187 0.594 0.780
0.282 0.414 0.201
0.214 0.081 0.799
0.813 0.406 0.220
0.718 0.586 0.799
0.324 0.913 0.237
0.676 0.087 0.763
0.252 0.255 0.506
0.748 0.745 0.494
```

A plane-wave DFT calculation with PBE was carried out for a geometry-optimized Zn3GaCu structure.

Results
* DFT formation energy: 0.6119 eV/atom
* DOS(E_F): 1.7 states/eV per cell
* total moment: 0.00 μB/f.u.
* distance to the lowest polymorph of the same formula: 631 meV/atom
* uncorrected energy: -1.58 eV/atom

POSCAR file:
```
Zn3GaCu
1.0
4.726 0.000 0.000
0.000 4.726 0.000
0.000 0.000 4.726
Ga Zn Cu
1 3 1
Direct
0.000 0.000 0.000
0.000 0.500 0.000
0.000 0.000 0.500
0.500 0.000 0.000
0.500 0.500 0.500
```

A plane-wave DFT calculation with PBE was carried out for a geometry-optimized ZnGa2Cu structure.

Results
* DFT formation energy: 0.0701 eV/atom
* DOS(E_F): 1.0 states/eV per cell
* total moment: 0.00 μB/f.u.
* uncorrected energy: -2.79 eV/atom

POSCAR file:
```
ZnGa2Cu
1.0
3.169 0.000 0.000
0.000 3.169 0.000
0.000 0.000 6.361
Cu Ga Zn
1 2 1
Direct
0.500 0.500 0.000
0.000 0.000 0.233
0.000 0.000 0.767
0.500 0.500 0.500
```

A plane-wave DFT calculation with PBE was carried out for a geometry-optimized ZnGa2Cu7 structure.

Results
* DFT formation energy: 0.0615 eV/atom
* DOS(E_F): 1.9 states/eV per cell
* total moment: 0.00 μB/f.u.
* uncorrected energy: -3.54 eV/atom

POSCAR file:
```
ZnGa2Cu7
1.0
-0.881 -3.968 0.209
1.448 1.584 -3.459
9.068 -1.858 2.945
Cu Ga Zn
7 2 1
Direct
0.667 0.333 0.966
0.000 0.000 0.327
0.333 0.667 0.406
0.000 0.000 0.781
0.667 0.333 0.518
0.333 0.667 0.149
0.333 0.667 0.893
0.333 0.667 0.649
0.667 0.333 0.249
0.000 0.000 0.046
```

A plane-wave DFT calculation with PBE was carried out for a geometry-optimized Zn2GaCu5 structure.

Results
* DFT formation energy: -0.0944 eV/atom
* DOS(E_F): 1.8 states/eV per cell
* total moment: 0.00 μB/f.u.
* distance to the lowest polymorph of the same formula: 0 meV/atom
* uncorrected energy: -3.35 eV/atom

POSCAR file:
```
Zn2GaCu5
1.0
-0.613 3.508 -1.182
-3.690 -0.673 -0.083
1.588 0.815 7.552
Cu Zn Ga
5 2 1
Direct
0.624 0.124 0.248
0.376 0.876 0.752
0.876 0.376 0.752
0.124 0.624 0.248
0.500 0.500 0.000
0.252 0.252 0.504
0.748 0.748 0.496
0.000 0.000 0.000
```

A plane-wave DFT calculation with PBE was carried out for a geometry-optimized ZnGaCu3 structure.

Results
* DFT formation energy: 0.6197 eV/atom
* DOS(E_F): 2.2 states/eV per cell
* total moment: 0.00 μB/f.u.
* distance to the lowest polymorph of the same formula: 681 meV/atom
* uncorrected energy: -2.70 eV/atom

POSCAR file:
```
ZnGaCu3
1.0
-0.361 -4.072 1.857
0.430 -1.886 -4.052
4.454 -0.149 0.542
Cu Zn Ga
3 1 1
Direct
0.500 0.000 0.000
0.000 0.500 0.000
0.000 0.000 0.500
0.500 0.500 0.500
0.000 0.000 0.000
```

A plane-wave DFT calculation with PBE was carried out for a geometry-optimized ZnGa2Cu4 structure.

Results
* DFT formation energy: 0.0102 eV/atom
* DOS(E_F): 4.5 states/eV per cell
* total moment: 0.00 μB/f.u.
* distance to the lowest polymorph of the same formula: 59 meV/atom
* uncorrected energy: -3.38 eV/atom

POSCAR file:
```
ZnGa2Cu4
1.0
-8.029 2.907 -0.503
-0.472 -2.070 -4.421
-1.333 -2.949 4.243
Cu Ga Zn
8 4 2
Direct
0.786 0.603 0.000
0.214 0.397 0.000
0.250 0.461 0.500
0.750 0.539 0.500
0.250 0.961 0.500
0.750 0.039 0.500
0.714 0.103 0.000
0.286 0.897 0.000
0.000 0.329 0.657
0.000 0.671 0.343
0.500 0.829 0.657
0.500 0.171 0.343
0.000 0.000 0.000
0.500 0.500 0.000
```

A plane-wave DFT calculation with PBE was carried out for a geometry-optimized ZnGaCu3 structure.

Results
* DFT formation energy: 0.0221 eV/atom
* DOS(E_F): 2.9 states/eV per cell
* total moment: 0.00 μB/f.u.
* distance to the lowest polymorph of the same formula: 83 meV/atom
* uncorrected energy: -3.30 eV/atom

POSCAR file:
```
ZnGaCu3
1.0
-1.229 -2.541 -3.732
1.124 -4.123 2.436
-6.382 1.737 0.919
Ga Zn Cu
2 2 6
Direct
0.250 0.180 0.360
0.750 0.820 0.640
0.250 0.559 0.117
0.750 0.441 0.883
0.000 0.000 0.000
0.500 0.000 0.000
0.250 0.108 0.705
0.250 0.597 0.705
0.750 0.403 0.295
0.750 0.892 0.295
```

A plane-wave DFT calculation with PBE was carried out for a geometry-optimized Zn3GaCu structure.

Results
* DFT formation energy: -0.0190 eV/atom
* DOS(E_F): 2.8 states/eV per cell
* total moment: 0.00 μB/f.u.
* distance to the lowest polymorph of the same formula: 0 meV/atom
* uncorrected energy: -2.21 eV/atom

POSCAR file:
```
Zn3GaCu
1.0
-2.385 2.342 -2.940
-4.463 -3.443 0.877
-0.686 2.369 5.808
Cu Zn Ga
2 6 2
Direct
0.499 0.750 0.500
0.501 0.250 0.500
0.883 0.250 0.264
0.318 0.496 0.135
0.117 0.750 0.736
0.682 0.996 0.865
0.318 0.004 0.135
0.682 0.504 0.865
0.891 0.750 0.283
0.109 0.250 0.717
```

What did the third record say?
A plane-wave DFT calculation with PBE was carried out for a geometry-optimized ZnGa3Cu structure.

Results
* DFT formation energy: 0.0079 eV/atom
* DOS(E_F): 3.9 states/eV per cell
* total moment: 0.00 μB/f.u.
* distance to the lowest polymorph of the same formula: 0 meV/atom
* uncorrected energy: -2.88 eV/atom

POSCAR file:
```
ZnGa3Cu
1.0
5.712 0.671 -0.461
-0.917 5.678 0.461
-2.918 -2.782 5.327
Ga Zn Cu
6 2 2
Direct
0.786 0.919 0.201
0.187 0.594 0.780
0.282 0.414 0.201
0.214 0.081 0.799
0.813 0.406 0.220
0.718 0.586 0.799
0.324 0.913 0.237
0.676 0.087 0.763
0.252 0.255 0.506
0.748 0.745 0.494
```

> Which of these has the highest DOS(E_F)?

ZnGa2Cu4